# 1
# PBE In2Pb3N4, relaxed
data_In2Pb3N4
_chemical_formula_sum 'In4 Pb6 N8'
_cell_length_a 7.391
_cell_length_b 7.391
_cell_length_c 6.992
_cell_angle_alpha 97.49
_cell_angle_beta 97.49
_cell_angle_gamma 82.92
_space_group_name_H-M_alt 'P 1'
_space_group_IT_number 1
loop_
_space_group_symop_operation_xyz
'x,y,z'
loop_
_atom_site_label
_atom_site_type_symbol
_atom_site_fract_x
_atom_site_fract_y
_atom_site_fract_z
_atom_site_occupancy
In1 In 0.135 0.321 0.454 1
In2 In 0.321 0.135 0.954 1
In3 In 0.679 0.865 0.046 1
In4 In 0.865 0.679 0.546 1
Pb1 Pb 0.087 0.913 0.250 1
Pb2 Pb 0.203 0.602 0.911 1
Pb3 Pb 0.398 0.797 0.589 1
Pb4 Pb 0.602 0.203 0.411 1
Pb5 Pb 0.797 0.398 0.089 1
Pb6 Pb 0.913 0.087 0.750 1
N1 N 0.090 0.200 0.139 1
N2 N 0.173 0.598 0.576 1
N3 N 0.200 0.090 0.639 1
N4 N 0.402 0.827 0.924 1
N5 N 0.598 0.173 0.076 1
N6 N 0.800 0.910 0.361 1
N7 N 0.827 0.402 0.424 1
N8 N 0.910 0.800 0.861 1
# * ΔE_f (raw): 0.48 eV/atom
# * spin magnetization: 0.0 μB per cell
# * total energy: -5.06 eV per atom

# 2
# PBE InPb3N, relaxed
data_InPb3N
_chemical_formula_sum 'In1 Pb3 N1'
_cell_length_a 5.711
_cell_length_b 5.711
_cell_length_c 5.711
_cell_angle_alpha 90.00
_cell_angle_beta 90.00
_cell_angle_gamma 90.00
_space_group_name_H-M_alt 'P 1'
_space_group_IT_number 1
loop_
_space_group_symop_operation_xyz
'x,y,z'
loop_
_atom_site_label
_atom_site_type_symbol
_atom_site_fract_x
_atom_site_fract_y
_atom_site_fract_z
_atom_site_occupancy
In1 In 0.000 0.000 0.000 1
Pb1 Pb 0.000 0.000 0.500 1
Pb2 Pb 0.000 0.500 0.000 1
Pb3 Pb 0.500 0.000 0.000 1
N1 N 0.500 0.500 0.500 1
# * ΔE_f (raw): 1.64 eV/atom
# * spin magnetization: 0.0 μB per cell
# * total energy: -2.80 eV per atom
# * offset from the most stable computed form: 1160 meV per atom

# 3
# PBE In2PbN, relaxed
data_In2PbN
_chemical_formula_sum 'In8 Pb4 N4'
_cell_length_a 7.192
_cell_length_b 7.192
_cell_length_c 7.192
_cell_angle_alpha 90.00
_cell_angle_beta 90.00
_cell_angle_gamma 90.00
_space_group_name_H-M_alt 'P 1'
_space_group_IT_number 1
loop_
_space_group_symop_operation_xyz
'x,y,z'
loop_
_atom_site_label
_atom_site_type_symbol
_atom_site_fract_x
_atom_site_fract_y
_atom_site_fract_z
_atom_site_occupancy
In1 In 0.250 0.250 0.250 1
In2 In 0.250 0.250 0.750 1
In3 In 0.250 0.750 0.250 1
In4 In 0.250 0.750 0.750 1
In5 In 0.750 0.250 0.250 1
In6 In 0.750 0.250 0.750 1
In7 In 0.750 0.750 0.250 1
In8 In 0.750 0.750 0.750 1
Pb1 Pb 0.000 0.000 0.000 1
Pb2 Pb 0.000 0.500 0.500 1
Pb3 Pb 0.500 0.000 0.500 1
Pb4 Pb 0.500 0.500 0.000 1
N1 N 0.000 0.000 0.500 1
N2 N 0.000 0.500 0.000 1
N3 N 0.500 0.000 0.000 1
N4 N 0.500 0.500 0.500 1
# * ΔE_f (raw): 1.07 eV/atom
# * spin magnetization: 5.8 μB per cell
# * total energy: -3.31 eV per atom

# 4
# PBE In3Pb3N5, relaxed
data_In3Pb3N5
_chemical_formula_sum 'In6 Pb6 N10'
_cell_length_a 6.312
_cell_length_b 6.962
_cell_length_c 9.956
_cell_angle_alpha 76.27
_cell_angle_beta 86.86
_cell_angle_gamma 86.40
_space_group_name_H-M_alt 'P 1'
_space_group_IT_number 1
loop_
_space_group_symop_operation_xyz
'x,y,z'
loop_
_atom_site_label
_atom_site_type_symbol
_atom_site_fract_x
_atom_site_fract_y
_atom_site_fract_z
_atom_site_occupancy
In1 In 0.137 0.192 0.444 1
In2 In 0.153 0.415 0.751 1
In3 In 0.284 0.539 0.086 1
In4 In 0.716 0.461 0.914 1
In5 In 0.847 0.585 0.249 1
In6 In 0.863 0.808 0.556 1
Pb1 Pb 0.217 0.079 0.071 1
Pb2 Pb 0.271 0.856 0.761 1
Pb3 Pb 0.356 0.689 0.392 1
Pb4 Pb 0.644 0.311 0.608 1
Pb5 Pb 0.729 0.144 0.239 1
Pb6 Pb 0.783 0.921 0.929 1
N1 N 0.042 0.784 0.096 1
N2 N 0.079 0.312 0.224 1
N3 N 0.213 0.878 0.532 1
N4 N 0.279 0.385 0.551 1
N5 N 0.381 0.526 0.868 1
N6 N 0.619 0.474 0.132 1
N7 N 0.721 0.615 0.449 1
N8 N 0.787 0.122 0.468 1
N9 N 0.921 0.688 0.776 1
N10 N 0.958 0.216 0.904 1
# * ΔE_f (raw): 0.41 eV/atom
# * spin magnetization: 0.0 μB per cell
# * total energy: -5.13 eV per atom

# 5
# PBE InPbN3, relaxed
data_InPbN3
_chemical_formula_sum 'In1 Pb1 N3'
_cell_length_a 4.315
_cell_length_b 4.315
_cell_length_c 4.315
_cell_angle_alpha 90.00
_cell_angle_beta 90.00
_cell_angle_gamma 90.00
_space_group_name_H-M_alt 'P 1'
_space_group_IT_number 1
loop_
_space_group_symop_operation_xyz
'x,y,z'
loop_
_atom_site_label
_atom_site_type_symbol
_atom_site_fract_x
_atom_site_fract_y
_atom_site_fract_z
_atom_site_occupancy
In1 In 0.000 0.000 0.000 1
Pb1 Pb 0.500 0.500 0.500 1
N1 N 0.000 0.000 0.500 1
N2 N 0.000 0.500 0.000 1
N3 N 0.500 0.000 0.000 1
# * ΔE_f (raw): 1.64 eV/atom
# * spin magnetization: 4.0 μB per cell
# * total energy: -4.65 eV per atom

# 6
# PBE InPb3N, relaxed
data_InPb3N
_chemical_formula_sum 'In1 Pb3 N1'
_cell_length_a 5.076
_cell_length_b 5.076
_cell_length_c 5.076
_cell_angle_alpha 90.00
_cell_angle_beta 90.00
_cell_angle_gamma 90.00
_space_group_name_H-M_alt 'P 1'
_space_group_IT_number 1
loop_
_space_group_symop_operation_xyz
'x,y,z'
loop_
_atom_site_label
_atom_site_type_symbol
_atom_site_fract_x
_atom_site_fract_y
_atom_site_fract_z
_atom_site_occupancy
In1 In 0.000 0.000 0.000 1
Pb1 Pb 0.000 0.500 0.500 1
Pb2 Pb 0.500 0.000 0.500 1
Pb3 Pb 0.500 0.500 0.000 1
N1 N 0.500 0.500 0.500 1
# * ΔE_f (raw): 0.48 eV/atom
# * spin magnetization: 0.0 μB per cell
# * total energy: -3.96 eV per atom
# * offset from the most stable computed form: 0 meV per atom

# 7
# PBE InPbN, relaxed
data_InPbN
_chemical_formula_sum 'In2 Pb2 N2'
_cell_length_a 3.543
_cell_length_b 5.885
_cell_length_c 8.085
_cell_angle_alpha 73.52
_cell_angle_beta 90.00
_cell_angle_gamma 72.70
_space_group_name_H-M_alt 'P 1'
_space_group_IT_number 1
loop_
_space_group_symop_operation_xyz
'x,y,z'
loop_
_atom_site_label
_atom_site_type_symbol
_atom_site_fract_x
_atom_site_fract_y
_atom_site_fract_z
_atom_site_occupancy
In1 In 0.000 0.000 0.000 1
In2 In 0.270 0.462 0.181 1
Pb1 Pb 0.282 0.440 0.715 1
Pb2 Pb 0.975 0.050 0.472 1
N1 N 0.389 0.226 0.011 1
N2 N 0.910 0.182 0.709 1
# * ΔE_f (raw): 0.38 eV/atom
# * spin magnetization: 0.0 μB per cell
# * total energy: -4.54 eV per atom

# 8
# PBE InPb2N, relaxed
data_InPb2N
_chemical_formula_sum 'In4 Pb8 N4'
_cell_length_a 7.234
_cell_length_b 7.234
_cell_length_c 7.234
_cell_angle_alpha 90.00
_cell_angle_beta 90.00
_cell_angle_gamma 90.00
_space_group_name_H-M_alt 'P 1'
_space_group_IT_number 1
loop_
_space_group_symop_operation_xyz
'x,y,z'
loop_
_atom_site_label
_atom_site_type_symbol
_atom_site_fract_x
_atom_site_fract_y
_atom_site_fract_z
_atom_site_occupancy
In1 In 0.000 0.000 0.000 1
In2 In 0.000 0.500 0.500 1
In3 In 0.500 0.000 0.500 1
In4 In 0.500 0.500 0.000 1
Pb1 Pb 0.250 0.250 0.250 1
Pb2 Pb 0.250 0.250 0.750 1
Pb3 Pb 0.250 0.750 0.250 1
Pb4 Pb 0.250 0.750 0.750 1
Pb5 Pb 0.750 0.250 0.250 1
Pb6 Pb 0.750 0.250 0.750 1
Pb7 Pb 0.750 0.750 0.250 1
Pb8 Pb 0.750 0.750 0.750 1
N1 N 0.000 0.000 0.500 1
N2 N 0.000 0.500 0.000 1
N3 N 0.500 0.000 0.000 1
N4 N 0.500 0.500 0.500 1
# * ΔE_f (raw): 1.03 eV/atom
# * spin magnetization: 4.1 μB per cell
# * total energy: -3.59 eV per atom
# * offset from the most stable computed form: 499 meV per atom

# 9
# PBE InPb2N2, relaxed
data_InPb2N2
_chemical_formula_sum 'In2 Pb4 N4'
_cell_length_a 3.596
_cell_length_b 5.841
_cell_length_c 14.192
_cell_angle_alpha 90.00
_cell_angle_beta 96.60
_cell_angle_gamma 90.00
_space_group_name_H-M_alt 'P 1'
_space_group_IT_number 1
loop_
_space_group_symop_operation_xyz
'x,y,z'
loop_
_atom_site_label
_atom_site_type_symbol
_atom_site_fract_x
_atom_site_fract_y
_atom_site_fract_z
_atom_site_occupancy
In1 In 0.000 0.000 0.000 1
In2 In 0.500 0.500 0.000 1
Pb1 Pb 0.225 0.500 0.197 1
Pb2 Pb 0.275 0.000 0.803 1
Pb3 Pb 0.725 0.000 0.197 1
Pb4 Pb 0.775 0.500 0.803 1
N1 N 0.012 0.500 0.540 1
N2 N 0.488 0.000 0.460 1
N3 N 0.512 0.000 0.540 1
N4 N 0.988 0.500 0.460 1
# * ΔE_f (raw): 0.11 eV/atom
# * spin magnetization: 0.0 μB per cell
# * total energy: -5.25 eV per atom

# 10
# PBE In2PbN, relaxed
data_In2PbN
_chemical_formula_sum 'In8 Pb4 N4'
_cell_length_a 6.219
_cell_length_b 6.219
_cell_length_c 10.562
_cell_angle_alpha 90.00
_cell_angle_beta 90.00
_cell_angle_gamma 90.00
_space_group_name_H-M_alt 'P 1'
_space_group_IT_number 1
loop_
_space_group_symop_operation_xyz
'x,y,z'
loop_
_atom_site_label
_atom_site_type_symbol
_atom_site_fract_x
_atom_site_fract_y
_atom_site_fract_z
_atom_site_occupancy
In1 In 0.145 0.250 0.125 1
In2 In 0.250 0.645 0.375 1
In3 In 0.250 0.855 0.875 1
In4 In 0.355 0.250 0.625 1
In5 In 0.645 0.750 0.625 1
In6 In 0.750 0.145 0.875 1
In7 In 0.750 0.355 0.375 1
In8 In 0.855 0.750 0.125 1
Pb1 Pb 0.000 0.000 0.500 1
Pb2 Pb 0.000 0.500 0.750 1
Pb3 Pb 0.500 0.000 0.250 1
Pb4 Pb 0.500 0.500 0.000 1
N1 N 0.000 0.000 0.000 1
N2 N 0.000 0.500 0.250 1
N3 N 0.500 0.000 0.750 1
N4 N 0.500 0.500 0.500 1
# * ΔE_f (raw): 0.34 eV/atom
# * spin magnetization: 0.0 μB per cell
# * total energy: -4.03 eV per atom

# 11
# PBE InPb2N, relaxed
data_InPb2N
_chemical_formula_sum 'In4 Pb8 N4'
_cell_length_a 7.355
_cell_length_b 7.355
_cell_length_c 7.657
_cell_angle_alpha 90.00
_cell_angle_beta 90.00
_cell_angle_gamma 90.00
_space_group_name_H-M_alt 'P 1'
_space_group_IT_number 1
loop_
_space_group_symop_operation_xyz
'x,y,z'
loop_
_atom_site_label
_atom_site_type_symbol
_atom_site_fract_x
_atom_site_fract_y
_atom_site_fract_z
_atom_site_occupancy
In1 In 0.000 0.000 0.000 1
In2 In 0.000 0.500 0.250 1
In3 In 0.500 0.000 0.750 1
In4 In 0.500 0.500 0.500 1
Pb1 Pb 0.159 0.750 0.625 1
Pb2 Pb 0.250 0.159 0.375 1
Pb3 Pb 0.250 0.341 0.875 1
Pb4 Pb 0.341 0.750 0.125 1
Pb5 Pb 0.659 0.250 0.125 1
Pb6 Pb 0.750 0.659 0.875 1
Pb7 Pb 0.750 0.841 0.375 1
Pb8 Pb 0.841 0.250 0.625 1
N1 N 0.000 0.000 0.500 1
N2 N 0.000 0.500 0.750 1
N3 N 0.500 0.000 0.250 1
N4 N 0.500 0.500 0.000 1
# * ΔE_f (raw): 0.54 eV/atom
# * spin magnetization: 0.0 μB per cell
# * total energy: -4.08 eV per atom
# * offset from the most stable computed form: 0 meV per atom

# 12
# PBE InPbN3, relaxed
data_InPbN3
_chemical_formula_sum 'In1 Pb1 N3'
_cell_length_a 4.411
_cell_length_b 4.411
_cell_length_c 4.411
_cell_angle_alpha 90.00
_cell_angle_beta 90.00
_cell_angle_gamma 90.00
_space_group_name_H-M_alt 'P 1'
_space_group_IT_number 1
loop_
_space_group_symop_operation_xyz
'x,y,z'
loop_
_atom_site_label
_atom_site_type_symbol
_atom_site_fract_x
_atom_site_fract_y
_atom_site_fract_z
_atom_site_occupancy
In1 In 0.000 0.000 0.000 1
Pb1 Pb 0.500 0.500 0.500 1
N1 N 0.000 0.500 0.500 1
N2 N 0.500 0.000 0.500 1
N3 N 0.500 0.500 0.000 1
# * ΔE_f (raw): 2.01 eV/atom
# * spin magnetization: 4.0 μB per cell
# * total energy: -4.27 eV per atom

Question: Which formula does entry 5 have?
Answer: InPbN3